[1]
DFT (PBE) results for a relaxed structure of Sm2InCuNi.

The structure in extended XYZ format:
```
10
Lattice="3.723 0.000 0.000 0.000 4.113 0.000 0.000 0.000 14.434" Properties=species:S:1:pos:R:3 pbc="T T T"
Sm 0.000 0.000 0.000
Sm 0.000 0.000 3.896
Sm 0.000 2.057 7.217
Sm 0.000 2.057 11.113
In 1.861 0.000 9.209
In 1.861 2.057 1.992
Cu 1.861 0.000 6.272
Cu 1.861 2.057 13.489
Ni 1.861 0.000 12.081
Ni 1.861 2.057 4.864
```



[2]
DFT (PBE) results for a relaxed structure of MgSiIr2.

The structure in extended XYZ format:
```
4
Lattice="2.930 0.000 0.000 0.000 2.930 0.000 0.000 0.000 6.669" Properties=species:S:1:pos:R:3 pbc="T T T"
Mg 0.000 0.000 0.000
Si 0.000 0.000 3.334
Ir 1.465 1.465 1.907
Ir 1.465 1.465 4.761
```



[3]
DFT (PBE) results for a relaxed structure of CsW2N2Cl6.

The structure in extended XYZ format:
```
11
Lattice="6.612 -1.898 0.000 6.612 1.898 0.000 -3.608 0.000 10.860" Properties=species:S:1:pos:R:3 pbc="T T T"
Cs 0.000 0.000 0.000
W 5.294 0.000 3.835
W 4.321 0.000 7.024
N -2.209 0.000 6.833
N 11.824 0.000 4.027
Cl 3.032 0.000 4.898
Cl 4.190 0.000 1.730
Cl 2.231 0.000 8.117
Cl 7.384 0.000 2.743
Cl 5.425 0.000 9.130
Cl 6.583 0.000 5.962
```



[4]
DFT (PBE) results for a relaxed structure of SrMg2Au2.

The structure in extended XYZ format:
```
10
Lattice="4.420 0.000 0.000 0.000 4.420 0.000 0.000 0.000 12.292" Properties=species:S:1:pos:R:3 pbc="T T T"
Sr 0.000 0.000 0.000
Sr 2.210 2.210 6.146
Mg 0.000 2.210 3.073
Mg 0.000 2.210 9.219
Mg 2.210 0.000 3.073
Mg 2.210 0.000 9.219
Au 0.000 0.000 4.735
Au 0.000 0.000 7.557
Au 2.210 2.210 1.411
Au 2.210 2.210 10.881
```



[5]
DFT (PBE) results for a relaxed structure of Li4CuGe2Pd.

The structure in extended XYZ format:
```
8
Lattice="4.252 0.000 0.000 0.000 4.252 0.000 0.000 0.000 6.008" Properties=species:S:1:pos:R:3 pbc="T T T"
Li 0.000 0.000 0.000
Li 0.000 2.126 4.482
Li 2.126 0.000 1.526
Li 2.126 2.126 3.004
Cu 0.000 0.000 3.004
Ge 0.000 2.126 1.528
Ge 2.126 0.000 4.480
Pd 2.126 2.126 0.000
```



[6]
DFT (PBE) results for a relaxed structure of CsThMg.

The structure in extended XYZ format:
```
12
Lattice="8.176 0.000 0.000 0.000 8.176 0.000 0.000 0.000 8.176" Properties=species:S:1:pos:R:3 pbc="T T T"
Cs 0.000 0.000 0.000
Cs 0.000 4.088 4.088
Cs 4.088 0.000 4.088
Cs 4.088 4.088 0.000
Th 0.000 0.000 4.088
Th 0.000 4.088 0.000
Th 4.088 0.000 0.000
Th 4.088 4.088 4.088
Mg 2.044 2.044 2.044
Mg 2.044 6.132 6.132
Mg 6.132 2.044 6.132
Mg 6.132 6.132 2.044
```



[7]
DFT (PBE) results for a relaxed structure of NdZnInO3.

The structure in extended XYZ format:
```
12
Lattice="1.793 -6.927 0.000 1.793 6.927 0.000 0.000 0.000 8.216" Properties=species:S:1:pos:R:3 pbc="T T T"
Nd 0.000 0.000 0.000
Nd 0.000 0.000 4.108
Zn 1.793 2.405 6.162
Zn 1.793 -2.405 2.054
In 1.793 2.411 2.054
In 1.793 -2.411 6.162
O 1.793 5.814 6.162
O 1.793 1.497 4.487
O 1.793 1.497 7.837
O 1.793 -1.497 0.379
O 1.793 -1.497 3.729
O 1.793 -5.814 2.054
```



[8]
DFT (PBE) results for a relaxed structure of Li3Sm3Sn2Ge.

The structure in extended XYZ format:
```
9
Lattice="7.422 0.000 0.000 -3.711 6.428 0.000 0.000 0.000 4.539" Properties=species:S:1:pos:R:3 pbc="T T T"
Li -2.869 4.970 0.000
Li 0.842 1.458 0.000
Li 5.739 0.000 0.000
Sm -1.507 2.610 2.269
Sm 3.014 0.000 2.269
Sm 2.204 3.818 2.269
Sn 0.000 4.285 0.000
Sn 3.711 2.143 0.000
Ge 0.000 0.000 2.269
```



[9]
DFT (PBE) results for a relaxed structure of AcSn4Pd6.

The structure in extended XYZ format:
```
11
Lattice="7.692 0.000 0.000 -3.846 6.662 0.000 0.000 0.000 4.340" Properties=species:S:1:pos:R:3 pbc="T T T"
Ac 0.000 0.000 0.000
Sn 0.000 2.621 2.170
Sn -1.576 5.351 2.170
Sn 1.576 5.351 2.170
Sn 3.846 2.221 0.000
Pd -1.487 3.583 0.000
Pd 2.355 1.360 2.170
Pd 1.487 3.583 0.000
Pd 0.000 6.158 0.000
Pd 5.337 1.360 2.170
Pd 3.846 3.942 2.170
```



[10]
DFT (PBE) results for a relaxed structure of Hf2Al3W4C3.

The structure in extended XYZ format:
```
24
Lattice="4.652 -2.691 0.000 4.652 2.691 0.000 -3.198 0.000 13.575" Properties=species:S:1:pos:R:3 pbc="T T T"
Hf 2.278 2.245 8.299
Hf 2.229 2.245 12.063
Hf 3.877 -2.245 1.512
Hf 3.829 -2.245 5.276
Al -0.200 0.811 10.184
Al 1.399 -0.811 3.396
Al 3.853 0.316 3.394
Al 2.253 -0.316 10.181
Al 4.707 0.811 10.179
Al 6.306 -0.811 3.391
W 2.296 0.440 1.095
W 2.293 0.474 5.691
W 0.697 -0.440 7.883
W 0.693 -0.474 12.478
W 5.413 0.474 1.097
W 5.409 0.440 5.692
W 3.814 -0.474 7.884
W 3.810 -0.440 12.479
C 0.727 1.346 6.787
C 3.898 1.385 0.000
C 3.807 1.385 6.787
C 2.326 -1.346 0.000
C 2.299 -1.385 6.787
C 5.407 -1.385 0.000
```



Number 1: raw total energy -4.715 eV per atom. Number 2: raw total energy -6.769 eV per atom. Number 3: raw total energy -5.742 eV per atom. Number 4: raw total energy -2.908 eV per atom. Number 5: raw total energy -3.657 eV per atom. Number 6: raw total energy -2.059 eV per atom. Number 7: raw total energy -5.874 eV per atom. Number 8: raw total energy -4.261 eV per atom. Number 9: raw total energy -5.305 eV per atom. Number 10: raw total energy -9.562 eV per atom.